# NaAgOsO4 | the Alexandria database | GGA-PBE | optimized geometry
data_NaAgOsO4
_chemical_formula_sum 'Na2 Ag2 Os2 O8'
_cell_length_a 6.114
_cell_length_b 6.979
_cell_length_c 6.412
_cell_angle_alpha 90.00
_cell_angle_beta 118.23
_cell_angle_gamma 90.00
_symmetry_space_group_name_H-M 'P 1'
_symmetry_Int_Tables_number 1
loop_
_symmetry_equiv_pos_as_xyz
'x,y,z'
loop_
_atom_site_label
_atom_site_type_symbol
_atom_site_fract_x
_atom_site_fract_y
_atom_site_fract_z
_atom_site_occupancy
Na1 Na 0.150 0.250 0.460 1
Na2 Na 0.850 0.750 0.540 1
Ag1 Ag 0.420 0.750 0.810 1
Ag2 Ag 0.580 0.250 0.190 1
Os1 Os 0.181 0.750 0.221 1
Os2 Os 0.819 0.250 0.779 1
O1 O 0.119 0.250 0.023 1
O2 O 0.208 0.575 0.448 1
O3 O 0.208 0.925 0.448 1
O4 O 0.448 0.750 0.182 1
O5 O 0.552 0.250 0.818 1
O6 O 0.792 0.075 0.552 1
O7 O 0.792 0.425 0.552 1
O8 O 0.881 0.750 0.977 1
# Space-group type: P2_1/m, No. 11
# Crystal system: monoclinic
# Electronic total energy (eV/atom): -5.859
# Energy relative to the elements, uncorrected (eV/atom): -0.8258

***

# Y2TcGe2 | the Alexandria database | GGA-PBE | optimized geometry
data_Y2TcGe2
_chemical_formula_sum 'Y4 Tc2 Ge4'
_cell_length_a 6.953
_cell_length_b 6.953
_cell_length_c 4.216
_cell_angle_alpha 90.00
_cell_angle_beta 90.00
_cell_angle_gamma 90.00
_symmetry_space_group_name_H-M 'P 1'
_symmetry_Int_Tables_number 1
loop_
_symmetry_equiv_pos_as_xyz
'x,y,z'
loop_
_atom_site_label
_atom_site_type_symbol
_atom_site_fract_x
_atom_site_fract_y
_atom_site_fract_z
_atom_site_occupancy
Y1 Y 0.177 0.323 0.000 1
Y2 Y 0.323 0.823 0.000 1
Y3 Y 0.677 0.177 0.000 1
Y4 Y 0.823 0.677 0.000 1
Tc1 Tc 0.000 0.000 0.500 1
Tc2 Tc 0.500 0.500 0.500 1
Ge1 Ge 0.132 0.632 0.500 1
Ge2 Ge 0.368 0.132 0.500 1
Ge3 Ge 0.632 0.868 0.500 1
Ge4 Ge 0.868 0.368 0.500 1
# Space-group type: P4/mbm, No. 127
# Excess energy over the best structure of this formula in the dataset (meV per atom): 44
# Crystal system: tetragonal
# Energy relative to the elements (meV/atom): -658
# Electronic total energy (eV/atom): -7.164

***

# HfZrIrW | the Alexandria database | GGA-PBE | optimized geometry
data_HfZrIrW
_chemical_formula_sum 'Hf1 Zr1 Ir1 W1'
_cell_length_a 4.671
_cell_length_b 4.671
_cell_length_c 4.671
_cell_angle_alpha 60.00
_cell_angle_beta 60.00
_cell_angle_gamma 60.00
_symmetry_space_group_name_H-M 'P 1'
_symmetry_Int_Tables_number 1
loop_
_symmetry_equiv_pos_as_xyz
'x,y,z'
loop_
_atom_site_label
_atom_site_type_symbol
_atom_site_fract_x
_atom_site_fract_y
_atom_site_fract_z
_atom_site_occupancy
Hf1 Hf 0.000 0.000 0.000 1
Zr1 Zr 0.500 0.500 0.500 1
Ir1 Ir 0.250 0.250 0.250 1
W1 W 0.750 0.750 0.750 1
# Space-group type: F-43m, No. 216
# Crystal system: cubic
# Energy relative to the elements (meV/atom): -398
# Electronic total energy (eV/atom): -10.477

***

# LiCdCuRh | the Alexandria database | GGA-PBE | optimized geometry
data_LiCdCuRh
_chemical_formula_sum 'Li1 Cd1 Cu1 Rh1'
_cell_length_a 3.788
_cell_length_b 3.848
_cell_length_c 4.056
_cell_angle_alpha 90.00
_cell_angle_beta 90.00
_cell_angle_gamma 90.00
_symmetry_space_group_name_H-M 'P 1'
_symmetry_Int_Tables_number 1
loop_
_symmetry_equiv_pos_as_xyz
'x,y,z'
loop_
_atom_site_label
_atom_site_type_symbol
_atom_site_fract_x
_atom_site_fract_y
_atom_site_fract_z
_atom_site_occupancy
Li1 Li 0.000 0.000 0.000 1
Cd1 Cd 0.500 0.500 0.000 1
Cu1 Cu 0.500 0.000 0.500 1
Rh1 Rh 0.000 0.500 0.500 1
# Space-group type: Pmmm, No. 47
# Crystal system: orthorhombic
# Energy relative to the elements (meV/atom): -141
# Electronic total energy (eV/atom): -3.710

***

> Which of these has the highest electronic total energy?

LiCdCuRh

***

> What is the electronic total energy in the first record?

-5.859 eV/atom

***

> Look up the electronic total energy of the fourth one.

-3.710 eV/atom

***

> Which value of electronic total energy does entry 3 give?

-10.477 eV/atom